Run A
Here is SrNiSn2Bi after structural relaxation from Alexandria via LeMat-Bulk. Energies are from PBE.

Values from the calculation:
Magnetization in Bohr magnetons per cell: 0.00

```
SrNiSn2Bi
1.0
4.985 0.000 0.000
0.000 4.985 0.000
0.000 0.000 5.627
Sr Ni Sn Bi
1 1 2 1
Cartesian
0.000 0.000 0.000
0.000 0.000 2.814
0.000 2.492 2.814
2.492 0.000 2.814
2.492 2.492 0.000
```

---

Run B
Here is SrNiSn2Bi after structural relaxation from Alexandria via LeMat-Bulk. Energies are from PBE.

Values from the calculation:
Magnetization in Bohr magnetons per cell: 0.00

```
SrNiSn2Bi
1.0
5.979 0.000 0.000
0.000 5.979 0.000
0.000 0.000 4.841
Sr Ni Sn Bi
1 1 2 1
Cartesian
0.000 0.000 0.000
0.000 0.000 2.421
0.000 2.989 0.000
2.989 0.000 0.000
2.989 2.989 2.421
```

---

We find run A to be the most stable, with the next structure 1298 meV/atom higher.

---

Run A
Here is YNiSn2Bi after structural relaxation from Alexandria via LeMat-Bulk. Energies are from PBE.

Values from the calculation:
Magnetization in Bohr magnetons per cell: 0.74

```
YNiSn2Bi
1.0
5.746 0.000 0.000
0.000 5.746 0.000
0.000 0.000 5.809
Y Ni Sn Bi
1 1 2 1
Cartesian
0.000 0.000 0.000
2.873 2.873 0.000
0.000 2.873 2.905
2.873 0.000 2.905
0.000 0.000 2.905
```

---

Run B
Here is YNiSn2Bi after structural relaxation from Alexandria via LeMat-Bulk. Energies are from PBE.

Values from the calculation:
Magnetization in Bohr magnetons per cell: 0.00

```
YNiSn2Bi
1.0
4.890 0.000 0.000
0.000 4.890 0.000
0.000 0.000 5.437
Y Ni Sn Bi
1 1 2 1
Cartesian
0.000 0.000 0.000
0.000 0.000 2.719
0.000 2.445 2.719
2.445 0.000 2.719
2.445 2.445 0.000
```

---

We find run B to be the most stable, with the next structure 1369 meV/atom higher.

---

Run A
Here is Sr2Ni2Bi after structural relaxation from Alexandria via LeMat-Bulk. Energies are from PBE.

Values from the calculation:
Magnetization in Bohr magnetons per cell: 0.02

```
Sr2Ni2Bi
1.0
7.405 0.000 0.000
0.000 7.405 0.000
0.000 0.000 4.543
Sr Ni Bi
4 4 2
Cartesian
1.345 2.357 0.000
2.357 6.059 0.000
5.048 1.345 0.000
6.059 5.048 0.000
0.825 4.527 2.271
2.878 0.825 2.271
4.527 6.580 2.271
6.580 2.878 2.271
0.000 0.000 2.271
3.702 3.702 2.271
```

---

Run B
Here is Sr2Ni2Bi after structural relaxation from Alexandria via LeMat-Bulk. Energies are from PBE.

Values from the calculation:
Magnetization in Bohr magnetons per cell: 0.85

```
Sr2Ni2Bi
1.0
-2.979 2.979 3.796
2.979 -2.979 3.796
2.979 2.979 -3.796
Sr Ni Bi
2 2 1
Cartesian
2.979 0.000 1.898
0.000 2.979 1.898
0.000 0.000 1.143
0.000 0.000 6.449
0.000 0.000 3.796
```

---

We find run A to be the most stable, with the next structure 78 meV/atom higher.

---

Run A
Here is SrNi3Bi after structural relaxation from Alexandria via LeMat-Bulk. Energies are from PBE.

Values from the calculation:
Magnetization in Bohr magnetons per cell: 0.50

```
SrNi3Bi
1.0
4.885 0.000 0.000
0.000 4.885 0.000
0.000 0.000 4.885
Sr Ni Bi
1 3 1
Cartesian
0.000 0.000 0.000
0.000 2.443 2.443
2.443 0.000 2.443
2.443 2.443 0.000
2.443 2.443 2.443
```

---

Run B
Here is SrNi3Bi after structural relaxation from Alexandria via LeMat-Bulk. Energies are from PBE.

Values from the calculation:
Magnetization in Bohr magnetons per cell: 0.00

```
SrNi3Bi
1.0
4.830 0.000 0.000
0.000 4.830 0.000
0.000 0.000 4.830
Sr Ni Bi
1 3 1
Cartesian
0.000 0.000 0.000
0.000 0.000 2.415
0.000 2.415 0.000
2.415 0.000 0.000
2.415 2.415 2.415
```

---

We find run A to be the most stable, with the next structure 980 meV/atom higher.

---

Run A
Here is TaNiBi3 after structural relaxation from Alexandria via LeMat-Bulk. Energies are from PBE.

Values from the calculation:
Magnetization in Bohr magnetons per cell: 0.00

```
TaNiBi3
1.0
5.446 0.000 0.000
0.000 5.446 0.000
0.000 0.000 5.446
Ta Ni Bi
1 1 3
Cartesian
0.000 0.000 0.000
2.723 2.723 2.723
0.000 0.000 2.723
0.000 2.723 0.000
2.723 0.000 0.000
```

---

Run B
Here is TaNiBi3 after structural relaxation from Alexandria via LeMat-Bulk. Energies are from PBE.

Values from the calculation:
Magnetization in Bohr magnetons per cell: 1.83

```
TaNiBi3
1.0
5.087 0.000 0.000
0.000 5.087 0.000
0.000 0.000 5.087
Ta Ni Bi
1 1 3
Cartesian
0.000 0.000 0.000
2.543 2.543 2.543
0.000 2.543 2.543
2.543 0.000 2.543
2.543 2.543 0.000
```

---

We find run B to be the most stable, with the next structure 108 meV/atom higher.

---

Run A
Here is Tc2NiBi after structural relaxation from Alexandria via LeMat-Bulk. Energies are from PBE.

Values from the calculation:
Magnetization in Bohr magnetons per cell: 0.00

```
Tc2NiBi
1.0
0.000 3.169 3.169
3.169 0.000 3.169
3.169 3.169 0.000
Tc Ni Bi
2 1 1
Cartesian
1.585 1.585 1.585
4.754 4.754 4.754
0.000 0.000 0.000
3.169 3.169 3.169
```

---

Run B
Here is Tc2NiBi after structural relaxation from Alexandria via LeMat-Bulk. Energies are from PBE.

Values from the calculation:
Magnetization in Bohr magnetons per cell: 0.00

```
Tc2NiBi
1.0
-1.933 1.933 9.528
1.933 -1.933 9.528
1.933 1.933 -9.528
Tc Ni Bi
4 2 2
Cartesian
2.900 0.695 -2.382
0.695 0.967 2.382
-0.967 1.238 7.146
1.238 0.967 11.910
0.000 0.000 0.000
0.000 1.933 4.764
1.933 0.000 4.764
0.000 0.000 9.528
```

---

We find run A to be the most stable, with the next structure 38 meV/atom higher.

---

Run A
Here is Ni2BiTe3 after structural relaxation from Alexandria via LeMat-Bulk. Energies are from PBE.

Values from the calculation:
Magnetization in Bohr magnetons per cell: 0.00

```
Ni2BiTe3
1.0
7.789 0.000 0.000
-3.894 6.745 0.000
0.000 0.000 5.437
Ni Bi Te
4 2 6
Cartesian
0.000 0.000 0.000
-1.947 3.373 0.000
3.894 0.000 0.000
1.947 3.373 0.000
0.000 4.497 3.896
3.894 2.248 1.541
0.000 2.313 1.270
-1.891 5.589 1.270
2.003 1.157 4.167
1.891 5.589 1.270
5.786 1.157 4.167
3.894 4.432 4.167
```

---

Run B
Here is Ni2BiTe3 after structural relaxation from Alexandria via LeMat-Bulk. Energies are from PBE.

Values from the calculation:
Magnetization in Bohr magnetons per cell: 0.00

```
Ni2BiTe3
1.0
3.794 2.190 5.986
-3.794 2.190 5.986
0.000 -4.381 5.986
Ni Bi Te
4 2 6
Cartesian
0.000 0.000 0.000
-1.897 -1.095 5.986
-1.897 1.095 11.972
0.000 2.190 5.986
0.000 0.000 4.382
0.000 0.000 13.576
0.000 -2.173 7.310
-1.882 1.086 7.310
-1.882 -1.086 10.648
1.882 1.086 7.310
1.882 -1.086 10.648
0.000 2.173 10.648
```

---

We find run A to be the most stable, with the next structure 32 meV/atom higher.

---

Run A
Here is Ni2Bi2Te after structural relaxation from Alexandria via LeMat-Bulk. Energies are from PBE.

Values from the calculation:
Magnetization in Bohr magnetons per cell: 0.00

```
Ni2Bi2Te
1.0
7.353 0.000 0.000
0.000 7.353 0.000
0.000 0.000 3.935
Ni Bi Te
4 4 2
Cartesian
0.917 2.759 0.000
2.759 6.436 0.000
4.593 0.917 0.000
6.436 4.593 0.000
1.158 4.834 1.967
2.519 1.158 1.967
4.834 6.195 1.967
6.195 2.519 1.967
0.000 0.000 0.000
3.676 3.676 0.000
```

---

Run B
Here is Ni2Bi2Te after structural relaxation from Alexandria via LeMat-Bulk. Energies are from PBE.

Values from the calculation:
Magnetization in Bohr magnetons per cell: 0.00

```
Ni2Bi2Te
1.0
5.956 -2.798 0.000
5.956 2.798 0.000
-1.179 0.000 6.653
Ni Bi Te
4 4 2
Cartesian
1.899 0.678 0.065
1.310 -0.678 3.392
9.424 0.678 3.262
8.835 -0.678 6.588
3.515 0.627 2.317
2.926 -0.627 5.644
7.808 0.627 1.009
7.218 -0.627 4.336
5.072 2.316 4.990
5.662 -2.316 1.663
```

---

We find run B to be the most stable, with the next structure 122 meV/atom higher.

---

Run A
Here is Th5NiBi2 after structural relaxation from Alexandria via LeMat-Bulk. Energies are from PBE.

Values from the calculation:
Magnetization in Bohr magnetons per cell: 0.00

```
Th5NiBi2
1.0
3.081 -6.373 0.000
3.081 6.373 0.000
0.000 0.000 13.175
Th Ni Bi
10 2 4
Cartesian
3.081 5.668 8.102
3.081 5.668 11.661
3.081 1.589 3.294
3.081 1.498 7.925
3.081 1.498 11.838
3.081 -1.498 1.338
3.081 -1.498 5.250
3.081 -1.589 9.882
3.081 -5.668 1.515
3.081 -5.668 5.073
3.081 3.688 9.882
3.081 -3.688 3.294
3.081 3.801 1.097
3.081 3.801 5.491
3.081 -3.801 7.685
3.081 -3.801 12.079
```

---

Run B
Here is Th5NiBi2 after structural relaxation from Alexandria via LeMat-Bulk. Energies are from PBE.

Values from the calculation:
Magnetization in Bohr magnetons per cell: 0.00

```
Th5NiBi2
1.0
8.258 0.000 0.000
0.000 12.746 0.000
0.000 0.000 4.577
Th Ni Bi
10 2 4
Cartesian
0.000 0.000 0.000
1.037 3.891 0.000
1.649 7.130 2.289
2.481 0.757 2.289
3.092 10.264 0.000
4.129 6.373 0.000
5.166 2.482 0.000
5.778 11.989 2.289
6.610 5.616 2.289
7.221 8.855 0.000
0.000 6.373 0.000
4.129 0.000 0.000
0.725 10.465 2.289
3.404 4.092 2.289
4.855 8.654 2.289
7.533 2.281 2.289
```

---

We find run B to be the most stable, with the next structure 338 meV/atom higher.

---

Run A
Here is Ti4NiBi after structural relaxation from Alexandria via LeMat-Bulk. Energies are from PBE.

Values from the calculation:
Magnetization in Bohr magnetons per cell: 0.00

```
Ti4NiBi
1.0
2.432 -8.422 0.000
2.432 8.422 0.000
0.000 0.000 5.552
Ti Ni Bi
8 2 2
Cartesian
2.432 7.581 2.774
2.432 4.974 1.397
2.432 4.977 4.158
2.432 2.041 2.776
2.432 -2.041 0.000
2.432 -4.977 1.381
2.432 -4.974 4.173
2.432 -7.581 5.550
2.432 7.009 0.004
2.432 -7.009 2.780
2.432 2.337 0.000
2.432 -2.337 2.776
```

---

Run B
Here is Ti4NiBi after structural relaxation from Alexandria via LeMat-Bulk. Energies are from PBE.

Values from the calculation:
Magnetization in Bohr magnetons per cell: 0.00

```
Ti4NiBi
1.0
-2.448 3.263 6.612
2.448 -3.263 6.612
2.448 3.263 -6.612
Ti Ni Bi
8 2 2
Cartesian
2.448 1.785 -1.563
0.000 0.000 2.236
0.000 1.992 0.000
2.448 1.785 1.563
0.000 1.478 5.049
0.000 4.533 0.000
0.000 0.000 10.989
0.000 1.478 8.176
1.281 0.000 0.000
3.614 0.000 0.000
2.448 0.000 3.973
0.000 3.263 2.639
```

---

We find run B to be the most stable, with the next structure 166 meV/atom higher.

---

Run A
Here is TiNiBi3 after structural relaxation from Alexandria via LeMat-Bulk. Energies are from PBE.

Values from the calculation:
Magnetization in Bohr magnetons per cell: 1.02

```
TiNiBi3
1.0
5.342 0.000 0.000
0.000 5.342 0.000
0.000 0.000 5.342
Ti Ni Bi
1 1 3
Cartesian
0.000 0.000 0.000
2.671 2.671 2.671
0.000 0.000 2.671
0.000 2.671 0.000
2.671 0.000 0.000
```

---

Run B
Here is TiNiBi3 after structural relaxation from Alexandria via LeMat-Bulk. Energies are from PBE.

Values from the calculation:
Magnetization in Bohr magnetons per cell: 0.00

```
TiNiBi3
1.0
5.123 0.000 0.000
0.000 5.123 0.000
0.000 0.000 5.123
Ti Ni Bi
1 1 3
Cartesian
0.000 0.000 0.000
2.561 2.561 2.561
0.000 2.561 2.561
2.561 0.000 2.561
2.561 2.561 0.000
```

---

We find run B to be the most stable, with the next structure 161 meV/atom higher.

---

Run A
Here is Ti2Ni2Bi after structural relaxation from Alexandria via LeMat-Bulk. Energies are from PBE.

Values from the calculation:
Magnetization in Bohr magnetons per cell: 0.00

```
Ti2Ni2Bi
1.0
7.370 0.000 0.000
0.000 7.370 0.000
0.000 0.000 3.123
Ti Ni Bi
4 4 2
Cartesian
1.091 2.594 0.000
2.594 6.279 0.000
4.776 1.091 0.000
6.279 4.776 0.000
0.925 4.610 1.562
2.760 0.925 1.562
4.610 6.444 1.562
6.444 2.760 1.562
0.000 0.000 0.000
3.685 3.685 0.000
```

---

Run B
Here is Ti2Ni2Bi after structural relaxation from Alexandria via LeMat-Bulk. Energies are from PBE.

Values from the calculation:
Magnetization in Bohr magnetons per cell: 0.67

```
Ti2Ni2Bi
1.0
-2.056 2.056 5.095
2.056 -2.056 5.095
2.056 2.056 -5.095
Ti Ni Bi
2 2 1
Cartesian
2.056 0.000 2.548
0.000 2.056 2.548
0.000 0.000 1.167
0.000 0.000 9.024
0.000 0.000 5.095
```

---

We find run B to be the most stable, with the next structure 106 meV/atom higher.